Material: Ba3V2S4O3
Method: DFT, GGA+U
State: relaxed

Lattice parameters (Å, degrees): 6.067 10.314 10.319 59.92 89.99 89.98
Site moments in Bohr magnetons follow the coordinates.
Element x y z (fractional)
Ba (0.673, 0.068, 0.310)  0.00
S (0.686, 0.210, 0.965)  -0.04
Ba (0.173, 0.376, 0.932)  0.00
Ba (0.672, 0.309, 0.623)  0.00
V (0.439, 0.000, 0.000)  1.92
S (0.440, 0.666, 0.667)  0.00
O (0.909, 0.623, 0.841)  0.00
S (0.939, 0.334, 0.333)  0.00
O (0.909, 0.840, 0.536)  0.00
O (0.408, 0.377, 0.159)  0.00
S (0.691, 0.964, 0.824)  -0.03
V (0.307, 0.334, 0.333)  0.00
O (0.408, 0.160, 0.464)  0.00
Ba (0.672, 0.623, 0.068)  0.00
Ba (0.172, 0.691, 0.377)  0.00
V (0.939, 0.000, 0.000)  2.00
S (0.188, 0.036, 0.176)  -0.03
V (0.808, 0.666, 0.667)  0.00
S (0.192, 0.173, 0.790)  -0.04
Ba (0.173, 0.932, 0.690)  0.00
S (0.193, 0.791, 0.035)  -0.04
O (0.909, 0.535, 0.625)  0.00
S (0.686, 0.827, 0.210)  -0.04
O (0.408, 0.465, 0.376)  0.00

Computed properties:
SG: P1
calculated total energy: -75.1 eV/f.u.